A PBEsol-optimized structure of BaAgRh2. Source: Alexandria via LeMat-Bulk, functional meta-GGA SCAN.

Properties
E (Ry per atom): -2.512
ρ (g cm⁻³): 9.83
Space group: No. 139

a b c (Å): 4.423 4.993 4.423
angles (deg): 63.71 90.00 116.29
Fractional coordinates of all 4 atoms:
Ag 0.500 0.000 0.500
Ba 0.000 0.000 0.000
Rh 0.250 0.500 0.250
Rh 0.750 0.500 0.750